Record 1
Compound: HoGaNO
Source: OQMD
Functional: GGA-PBE
Structure: optimized geometry

```
data_HoGaNO
_space_group_name_H-M_alt 'P m c 21'
_space_group_IT_number 26
_cell_length_a 3.8957
_cell_length_b 5.8222
_cell_length_c 5.2198
_cell_angle_alpha 90.00
_cell_angle_beta 90.00
_cell_angle_gamma 90.00
loop_
_space_group_symop_operation_xyz
'x,y,z'
'-x,-y,z+1/2'
'-x,y,z'
'x,-y,z+1/2'
loop_
_atom_site_label
_atom_site_type_symbol
_atom_site_fract_x
_atom_site_fract_y
_atom_site_fract_z
Ho1 Ho 0.0000 0.2045 0.0000
Ga1 Ga 0.5000 0.3102 0.5039
N1 N 0.5000 0.3721 0.8744
O1 O 0.0000 0.1715 0.4326
```

Polymorph energy (0 for the lowest one) ... 82.5 meV per atom
V ... 14.80 Å³ per atom
Theoretical density ... 7.4 g/cm3

Record 2
Compound: HoNbGa
Source: OQMD
Functional: GGA-PBE
Structure: optimized geometry

```
data_HoNbGa
_space_group_name_H-M_alt 'F -4 3 m'
_space_group_IT_number 216
_space_group_name_Hall 'F -4 2 3'
_cell_length_a 6.5161
_cell_length_b 6.5161
_cell_length_c 6.5161
_cell_angle_alpha 90.00
_cell_angle_beta 90.00
_cell_angle_gamma 90.00
loop_
_atom_site_label
_atom_site_type_symbol
_atom_site_fract_x
_atom_site_fract_y
_atom_site_fract_z
Ho1 Ho 0.0000 0.0000 0.0000
Nb1 Nb 0.0000 0.0000 0.5000
Ga1 Ga 0.2500 0.2500 0.2500
```

Polymorph energy (0 for the lowest one) ... 0.0 meV per atom
V ... 23.06 Å³ per atom
Theoretical density ... 7.9 g/cm3

Record 3
Compound: HoNb2Ga2
Source: OQMD
Functional: GGA-PBE
Structure: optimized geometry

```
data_HoNb2Ga2
_space_group_name_H-M_alt 'P 4/m b m'
_space_group_IT_number 127
_space_group_name_Hall '-P 4 2ab'
_cell_length_a 7.3462
_cell_length_b 7.3462
_cell_length_c 3.4866
_cell_angle_alpha 90.00
_cell_angle_beta 90.00
_cell_angle_gamma 90.00
loop_
_atom_site_label
_atom_site_type_symbol
_atom_site_fract_x
_atom_site_fract_y
_atom_site_fract_z
Ho1 Ho 0.0000 0.0000 0.0000
Nb1 Nb 0.1734 0.3266 0.5000
Ga1 Ga 0.1222 0.6222 0.0000
```

V ... 18.82 Å³ per atom
E_tot ... -64.29 eV per cell
Theoretical density ... 8.7 g/cm3

Record 4
Compound: HoNbGa
Source: OQMD
Functional: GGA-PBE
Structure: optimized geometry

```
data_HoNbGa
_space_group_name_H-M_alt 'F -4 3 m'
_space_group_IT_number 216
_space_group_name_Hall 'F -4 2 3'
_cell_length_a 6.7865
_cell_length_b 6.7865
_cell_length_c 6.7865
_cell_angle_alpha 90.00
_cell_angle_beta 90.00
_cell_angle_gamma 90.00
loop_
_atom_site_label
_atom_site_type_symbol
_atom_site_fract_x
_atom_site_fract_y
_atom_site_fract_z
Ho1 Ho 0.0000 0.0000 0.0000
Nb1 Nb 0.2500 0.2500 0.7500
Ga1 Ga 0.2500 0.2500 0.2500
```

Polymorph energy (0 for the lowest one) ... 720.3 meV per atom
V ... 26.05 Å³ per atom
Theoretical density ... 7.0 g/cm3

Record 5
Compound: NdHoGa2
Source: OQMD
Functional: GGA-PBE
Structure: optimized geometry

```
data_NdHoGa2
_space_group_name_H-M_alt 'A m m 2'
_space_group_IT_number 38
_cell_length_a 4.1058
_cell_length_b 4.4160
_cell_length_c 11.0714
_cell_angle_alpha 90.00
_cell_angle_beta 90.00
_cell_angle_gamma 90.00
loop_
_space_group_symop_operation_xyz
'x,y,z'
'-x,-y,z'
'-x,y,z'
'x,-y,z'
'x,y+1/2,z+1/2'
'-x,-y+1/2,z+1/2'
'-x,y+1/2,z+1/2'
'x,-y+1/2,z+1/2'
loop_
_atom_site_label
_atom_site_type_symbol
_atom_site_fract_x
_atom_site_fract_y
_atom_site_fract_z
Nd1 Nd 0.0000 0.0000 0.0000
Ho1 Ho 0.5000 0.0000 0.7210
Ga1 Ga 0.0000 0.0000 0.2820
Ga2 Ga 0.5000 0.0000 0.4306
```

V ... 25.09 Å³ per atom
E_tot ... -35.63 eV per cell
Theoretical density ... 7.4 g/cm3

Record 6
Compound: NdHoGa6
Source: OQMD
Functional: GGA-PBE
Structure: optimized geometry

```
data_NdHoGa6
_space_group_name_H-M_alt 'P -6 m 2'
_space_group_IT_number 187
_space_group_name_Hall 'P -6 2'
_cell_length_a 6.3379
_cell_length_b 6.3379
_cell_length_c 4.5552
_cell_angle_alpha 90.00
_cell_angle_beta 90.00
_cell_angle_gamma 120.00
loop_
_atom_site_label
_atom_site_type_symbol
_atom_site_fract_x
_atom_site_fract_y
_atom_site_fract_z
Nd1 Nd 0.0000 0.0000 0.0000
Ho1 Ho 0.3333 0.6667 0.5000
Ga1 Ga 0.3770 0.1885 0.5000
Ga2 Ga 0.5187 0.0373 0.0000
```

V ... 19.81 Å³ per atom
E_tot ... -31.87 eV per cell
Theoretical density ... 7.6 g/cm3